Entry 1:
Density functional theory data (GGA-PBE) for crystalline Al2PSe at its relaxed geometry.

Calculated values
Space group: F-43m, No. 216
Volume in Å³/cell: 71
Energy relative to the lowest polymorph listed for this composition in eV/f.u.: 3.41
Crystal system: cubic

Lattice parameters (Å, degrees): 4.657 4.657 4.657 60.00 60.00 60.00
Fractional positions:
Al1 0.000 0.000 0.000
Al2 0.250 0.250 0.250
P1 0.500 0.500 0.500
Se1 0.750 0.750 0.750

---

Entry 2:
Density functional theory data (GGA-PBE) for crystalline CsNi2HgC at its relaxed geometry.

Calculated values
Space group: P4/mmm, No. 123
Volume in Å³/cell: 112
Calculated formation energy in eV per atom: 2.59
Crystal system: tetragonal

Lattice parameters (Å, degrees): 4.908 4.908 4.643 90.00 90.00 90.00
Fractional positions:
Cs1 0.000 0.000 0.000
Ni1 0.000 0.500 0.000
Ni2 0.500 0.000 0.000
Hg1 0.500 0.500 0.500
C1 0.000 0.000 0.500

---

- Which of these has the lowest volume?
  Al2PSe

---

- Among the records above, which one has the lowest volume?
  Al2PSe

---

- Among the records above, which one has the highest volume?
  CsNi2HgC